Material: BaCrIr2O8
Method: DFT, GGA+U
State: relaxed

It has space group P-3 (No. 147), with a = 5.3377 Å, b = 5.3377 Å, c = 7.6140 Å, α = 90.00°, β = 90.00° and γ = 120.00°. The distinct sites, in fractional coordinates, are Ba at (0.0000, 0.0000, 0.0000), Cr at (0.0000, 0.0000, 0.5000), Ir at (0.3333, 0.6667, 0.6984), O at (0.0202, 0.2992, 0.6677) and O at (0.3333, 0.6667, 0.9434).

The value obtained for the electronic total energy is -6.61 eV/atom. Its total moment is 1.88 μB/f.u.